ScAuS2 PBE-GGA optimized geometry; density = 5.647 g/cm³; spin magnetization = 0.00 μB/f.u.; space group = No. 62; distance to the lowest polymorph of the same formula = 238.0 meV/atom; E_form (uncorrected) = -0.963 eV per atom
1.0
6.959 0.000 0.000
0.000 3.890 0.000
0.000 0.000 13.300
Sc Au S
4 4 8
Cartesian
0.652 0.972 1.335 Sc
2.828 2.917 7.985 Sc
4.131 0.972 5.315 Sc
6.307 2.917 11.965 Sc
0.958 2.917 3.601 Au
2.522 0.972 10.251 Au
4.437 2.917 3.049 Au
6.001 0.972 9.699 Au
0.793 2.917 9.782 S
1.478 2.917 0.035 S
2.001 0.972 6.685 S
2.687 0.972 3.132 S
4.272 2.917 10.168 S
4.958 2.917 6.615 S
5.480 0.972 13.265 S
6.166 0.972 3.518 S

Sc2AuS PBE-GGA optimized geometry; density = 4.710 g/cm³; spin magnetization = 0.00 μB/f.u.; space group = No. 166; E_form (uncorrected) = -0.702 eV per atom
1.0
4.168 0.000 0.000
-2.084 3.610 0.000
0.000 0.000 22.424
Sc Au S
6 3 3
Cartesian
0.000 0.000 2.337 Sc
0.000 0.000 20.087 Sc
0.000 2.406 12.612 Sc
0.000 2.406 17.286 Sc
2.084 1.203 5.138 Sc
2.084 1.203 9.811 Sc
0.000 0.000 11.212 Au
0.000 2.406 3.737 Au
2.084 1.203 18.686 Au
0.000 0.000 0.000 S
0.000 2.406 14.949 S
2.084 1.203 7.475 S

ScAuS2 PBE-GGA optimized geometry; density = 6.762 g/cm³; spin magnetization = 0.00 μB/f.u.; space group = No. 123; distance to the lowest polymorph of the same formula = 301.5 meV/atom; E_form (uncorrected) = -0.899 eV per atom
1.0
3.754 0.000 0.000
0.000 3.754 0.000
0.000 0.000 5.332
Sc Au S
1 1 2
Cartesian
0.000 0.000 0.000 Sc
1.877 1.877 2.666 Au
0.000 0.000 2.666 S
1.877 1.877 0.000 S

| no. | DFT total energy (eV per cell) |
| --- | --- |
| 1 | -86.9 |
| 2 | -68.6 |
| 3 | -21.5 |